The following is a DFT calculation (GGA-PBE) of an optimized crystal structure of YPb.

Output
The energy of formation from the pure elements comes out at -0.0675 eV per atom. For the total energy, the calculation gives -0.3788 Ry per atom.

Lattice parameters (Å, degrees): 12.839 12.839 3.567 90.00 90.00 90.00
Space group I4/m (No. 87)
Unique sites:
Y1 0.062 0.654 0.000 (multiplicity 8)
Pb1 0.145 0.207 0.000 (multiplicity 8)